1.
Here is a relaxed structure of Ho3Mg from Alexandria. Energies are from PBEsol.

Unit cell a=6.8675 b=6.8675 c=5.4237 alpha=90.00 beta=90.00 gamma=120.00
Space group P6_3/mmc (No. 194)
One atom of each set of equivalent atoms:
Ho1 0.1696 0.3391 0.2500 (multiplicity 6)
Mg1 0.3333 0.6667 0.7500 (multiplicity 2)

**ΔE_f**: 16.2 meV per atom
**E**: -4.13 eV/atom

---

2.
Here is a relaxed structure of Ho3Mg from Alexandria. Energies are from PBEsol.

Unit cell a=3.4694 b=3.4694 c=9.1985 alpha=90.00 beta=90.00 gamma=90.00
Space group P4/mmm (No. 123)
One atom of each set of equivalent atoms:
Ho1 0.0000 0.0000 0.0000 (multiplicity 1)
Ho2 0.5000 0.5000 0.2588 (multiplicity 2)
Mg1 0.0000 0.0000 0.5000 (multiplicity 1)

**ΔE_f**: -20.4 meV per atom
**E**: -4.16 eV/atom

---

3.
Here is a relaxed structure of HoMgTi2O6 from Alexandria. Energies are from PBEsol.

Unit cell a=7.5101 b=5.4298 c=5.1749 alpha=90.00 beta=90.00 gamma=90.00
Space group Pmn2_1 (No. 31)
One atom of each set of equivalent atoms:
Ho1 0.0000 0.1800 0.0000 (multiplicity 2)
Mg1 0.0000 0.6940 0.5293 (multiplicity 2)
Ti1 0.2494 0.7426 0.0140 (multiplicity 4)
O1 0.0000 0.3031 0.4085 (multiplicity 2)
O2 0.0000 0.7856 0.1419 (multiplicity 2)
O3 0.1892 0.4478 0.8222 (multiplicity 4)
O4 0.1894 0.9407 0.6991 (multiplicity 4)

**Formation energy from raw total energies**: -3.1188 eV/atom
**E**: -8.60 eV/atom

---

4.
Here is a relaxed structure of Ho2MgTiO6 from Alexandria. Energies are from PBEsol.

Unit cell a=5.2430 b=5.5669 c=9.1858 alpha=90.00 beta=124.43 gamma=90.00
Space group P2_1/c (No. 14)
One atom of each set of equivalent atoms:
Ho1 0.2283 0.0693 0.2479 (multiplicity 4)
Mg1 0.0000 0.0000 0.5000 (multiplicity 2)
Ti1 0.5000 0.0000 0.0000 (multiplicity 2)
O1 0.1414 0.1877 0.9428 (multiplicity 4)
O2 0.2519 0.7029 0.9359 (multiplicity 4)
O3 0.3748 0.0448 0.7567 (multiplicity 4)

**Formation energy from raw total energies**: -3.3565 eV/atom
**E**: -8.50 eV/atom

---

5.
Here is a relaxed structure of HoMgV2O6 from Alexandria. Energies are from PBEsol.

Unit cell a=7.3852 b=5.3786 c=5.1014 alpha=90.00 beta=90.00 gamma=90.00
Space group Pmn2_1 (No. 31)
One atom of each set of equivalent atoms:
Ho1 0.0000 0.1787 0.0000 (multiplicity 2)
Mg1 0.0000 0.6912 0.4634 (multiplicity 2)
V1 0.2501 0.2581 0.4828 (multiplicity 4)
O1 0.0000 0.2992 0.5881 (multiplicity 2)
O2 0.0000 0.7836 0.8528 (multiplicity 2)
O3 0.1903 0.4542 0.1824 (multiplicity 4)
O4 0.1912 0.9412 0.2989 (multiplicity 4)

**Formation energy from raw total energies**: -2.7700 eV/atom
**E**: -8.51 eV/atom

---

6.
Here is a relaxed structure of HoMgPd from Alexandria. Energies are from PBEsol.

Unit cell a=7.3177 b=7.3177 c=4.0144 alpha=90.00 beta=90.00 gamma=120.00
Space group P-62m (No. 189)
One atom of each set of equivalent atoms:
Ho1 0.0000 0.4116 0.0000 (multiplicity 3)
Mg1 0.0000 0.7541 0.5000 (multiplicity 3)
Pd1 0.0000 0.0000 0.0000 (multiplicity 1)
Pd2 0.3333 0.6667 0.5000 (multiplicity 2)

**ΔE_f**: -667.3 meV per atom
**E**: -4.88 eV/atom

---

7.
Here is a relaxed structure of HoMgRh2 from Alexandria. Energies are from PBEsol.

Unit cell a=6.4502 b=6.4502 c=6.4502 alpha=90.00 beta=90.00 gamma=90.00
Space group Fm-3m (No. 225)
One atom of each set of equivalent atoms:
Ho1 0.0000 0.0000 0.0000 (multiplicity 4)
Mg1 0.0000 0.0000 0.5000 (multiplicity 4)
Rh1 0.2500 0.2500 0.2500 (multiplicity 8)

**ΔE_f**: -682.7 meV per atom
**E**: -6.42 eV/atom

---

8.
Here is a relaxed structure of Ho4MgRh from Alexandria. Energies are from PBEsol.

Unit cell a=13.4378 b=13.4378 c=13.4378 alpha=90.00 beta=90.00 gamma=90.00
Space group F-43m (No. 216)
One atom of each set of equivalent atoms:
Ho1 0.0000 0.0000 0.1855 (multiplicity 24)
Ho2 0.0631 0.2500 0.7500 (multiplicity 24)
Ho3 0.0967 0.0967 0.4033 (multiplicity 16)
Mg1 0.1701 0.1701 0.1701 (multiplicity 16)
Rh1 0.1081 0.1081 0.6081 (multiplicity 16)

**ΔE_f**: -384.3 meV per atom
**E**: -5.33 eV/atom